[1]
# Lu3CoCN

A geometry-optimized Lu3CoCN structure (PBE, OQMD via LeMat-Bulk).

The structure in extended XYZ format:
```
12
Lattice="3.388 0.000 0.000 -1.694 2.934 0.000 0.000 0.000 18.998" Properties=species:S:1:pos:R:3 pbc="T T T"
Lu 0.000 1.956 16.208
Lu 1.694 0.978 2.790
Lu 1.694 0.978 6.769
Lu 0.000 0.000 9.499
Lu 0.000 1.956 12.229
Lu 0.000 0.000 0.000
C 1.694 0.978 17.490
C 0.000 1.956 1.508
Co 0.000 0.000 14.162
Co 0.000 0.000 4.836
N 1.694 0.978 10.880
N 0.000 1.956 8.118
```

Output
As for the symmetry: No. 164. Its crystal system is trigonal. For the total energy, the calculation gives -6.99 eV/atom. As for the theoretical density: 10.72 g/cm3.

[2]
# YGaCoOs

A geometry-optimized YGaCoOs structure (PBE, OQMD via LeMat-Bulk).

The structure in extended XYZ format:
```
4
Lattice="0.118 -3.241 3.244 -2.701 0.350 3.691 -3.553 -2.854 0.521" Properties=species:S:1:pos:R:3 pbc="T T T"
Ga 0.000 0.000 0.000
Y -1.534 -1.436 1.864
Os -3.068 -2.873 3.728
Co -4.602 -4.309 5.592
```

Output
As for the symmetry: No. 216. Its crystal system is cubic. For the total energy, the calculation gives -6.70 eV/atom. The value obtained for the energy above the most stable polymorph in this dataset is 0.232 eV per atom. As for the theoretical density: 9.92 g/cm3.

[3]
# CsTmZnTe2Se

A geometry-optimized CsTmZnTe2Se structure (PBE, OQMD via LeMat-Bulk).

The structure in extended XYZ format:
```
12
Lattice="2.158 -8.449 0.000 2.158 8.449 0.000 0.000 0.000 11.185" Properties=species:S:1:pos:R:3 pbc="T T T"
Cs 2.158 -3.960 2.796
Cs 2.158 3.960 8.389
Tm 0.000 0.000 5.592
Tm 0.000 0.000 0.000
Se 2.158 7.653 2.796
Se 2.158 -7.653 8.389
Te 2.158 -2.081 6.165
Te 2.158 2.081 5.020
Te 2.158 2.081 0.573
Te 2.158 -2.081 10.612
Zn 2.158 0.651 2.796
Zn 2.158 -0.651 8.389
```

Output
As for the symmetry: No. 63. Its crystal system is orthorhombic. For the total energy, the calculation gives -3.92 eV/atom. As for the theoretical density: 5.71 g/cm3.

[4]
# Tb2SmIn3Ni3

A geometry-optimized Tb2SmIn3Ni3 structure (PBE, OQMD via LeMat-Bulk).

The structure in extended XYZ format:
```
9
Lattice="3.825 0.000 0.000 0.000 6.475 3.742 0.000 -6.475 3.742" Properties=species:S:1:pos:R:3 pbc="T T T"
Ni 1.913 0.000 0.006
Ni 0.000 2.174 3.739
Ni 0.000 -2.174 3.739
Tb 1.913 2.661 1.538
Tb 1.913 -2.661 1.538
Sm 1.913 0.000 4.402
In 0.000 -4.823 2.806
In 0.000 4.823 2.806
In 0.000 0.000 1.878
```

Output
As for the symmetry: No. 38. Its crystal system is orthorhombic. For the total energy, the calculation gives -4.82 eV/atom. As for the theoretical density: 8.86 g/cm3.

[5]
# DyPuAl

A geometry-optimized DyPuAl structure (PBE, OQMD via LeMat-Bulk).

The structure in extended XYZ format:
```
3
Lattice="-4.824 -1.356 0.300 -3.481 3.378 1.290 -3.288 1.647 -3.417" Properties=species:S:1:pos:R:3 pbc="T T T"
Pu -8.695 2.752 -1.370
Al 0.000 0.000 0.000
Dy -2.898 0.917 -0.457
```

Output
As for the symmetry: No. 216. Its crystal system is cubic. For the total energy, the calculation gives -7.35 eV/atom. The value obtained for the energy above the most stable polymorph in this dataset is 0.000 eV per atom. As for the theoretical density: 8.05 g/cm3.

[6]
# KYFeSe3

A geometry-optimized KYFeSe3 structure (PBE, OQMD via LeMat-Bulk).

The structure in extended XYZ format:
```
12
Lattice="-4.373 -7.412 -2.509 2.786 -0.665 -2.891 6.606 -2.443 6.929" Properties=species:S:1:pos:R:3 pbc="T T T"
Se 0.316 -5.445 0.125
Se 5.806 -4.640 5.231
Se 4.703 -5.075 1.403
Se -0.787 -5.880 -3.702
Se 2.262 -9.145 -0.012
Se 2.757 -1.375 1.541
Y 0.787 -7.520 -1.807
Y 4.231 -3.000 3.336
Fe -1.233 -4.621 -1.557
Fe 6.252 -5.899 3.086
K 2.521 -3.261 -1.117
K 2.498 -7.259 2.645
```

Output
As for the symmetry: No. 11. Its crystal system is monoclinic. For the total energy, the calculation gives -5.61 eV/atom. The value obtained for the energy above the most stable polymorph in this dataset is 0.000 eV per atom. As for the theoretical density: 4.09 g/cm3.

[7]
# HfSnMo2

A geometry-optimized HfSnMo2 structure (PBE, OQMD via LeMat-Bulk).

The structure in extended XYZ format:
```
4
Lattice="0.000 3.318 3.318 3.318 0.000 3.318 3.318 3.318 0.000" Properties=species:S:1:pos:R:3 pbc="T T T"
Mo 0.000 0.000 0.000
Mo 4.977 4.977 4.977
Sn 3.318 3.318 3.318
Hf 1.659 1.659 1.659
```

Output
As for the symmetry: No. 216. Its crystal system is cubic. For the total energy, the calculation gives -8.78 eV/atom. As for the theoretical density: 11.12 g/cm3.

[8]
# Lu5Co4Ge10

A geometry-optimized Lu5Co4Ge10 structure (PBE, OQMD via LeMat-Bulk).

The structure in extended XYZ format:
```
38
Lattice="-11.972 -3.387 -2.157 3.714 -11.919 -1.899 -0.500 -0.797 4.027" Properties=species:S:1:pos:R:3 pbc="T T T"
Co 2.519 -9.070 -1.483
Co -3.499 -10.662 -2.546
Co -4.759 -4.644 -1.511
Co -1.099 -7.102 -1.543
Co -5.403 -14.192 -3.481
Co -10.777 -6.237 -2.573
Co -2.855 -1.114 -0.575
Co -7.159 -8.204 -2.513
Ge -7.116 -12.417 -3.342
Ge -3.831 -10.029 -0.338
Ge -1.141 -2.889 -0.714
Ge -6.559 -15.085 -1.678
Ge -2.391 -7.558 0.330
Ge -6.740 -5.826 -1.990
Ge -6.366 -8.546 -0.359
Ge -11.549 -5.728 -0.445
Ge 0.763 -10.721 -2.028
Ge -9.543 -8.287 -2.826
Ge -4.926 -6.075 0.309
Ge -3.358 -13.022 -2.996
Ge 1.285 -7.020 -1.230
Ge 2.791 -10.376 0.415
Ge -1.518 -9.480 -2.066
Ge -2.342 -5.115 -1.304
Ge -2.198 -1.018 1.649
Ge -4.900 -2.285 -1.061
Ge -9.021 -4.585 -2.028
Ge -5.916 -10.191 -2.753
Lu -3.482 -3.590 0.980
Lu -8.620 -10.694 -1.065
Lu -5.276 -12.513 -1.009
Lu 0.157 -9.046 0.352
Lu -1.603 -12.309 -0.513
Lu -0.138 -5.409 1.035
Lu -7.155 -3.795 0.484
Lu -8.915 -7.058 -0.381
Lu 0.000 0.000 0.000
Lu -4.129 -7.653 -2.028
```

Output
As for the symmetry: No. 127. Its crystal system is tetragonal. For the total energy, the calculation gives -5.75 eV/atom. As for the theoretical density: 9.25 g/cm3.